# PrSm4Cd5 (PBE, optimized geometry)
# Crystal system = tetragonal
# Space group = P4/mmm (123)
# ρ = 7.72 g/cm3
# DFT formation energy = -306 kJ/mol of formula units
# Total moment = 1.95 μB per formula unit
# DFT total energy = -3.140 eV/atom
data_PrSm4Cd5
_chemical_formula_sum 'Pr1 Sm4 Cd5'
_cell_length_a 3.8313
_cell_length_b 3.8313
_cell_length_c 19.1042
_cell_angle_alpha 90.00
_cell_angle_beta 90.00
_cell_angle_gamma 90.00
_space_group_name_H-M_alt 'P 1'
_space_group_IT_number 1
loop_
_space_group_symop_operation_xyz
'x,y,z'
loop_
_atom_site_label
_atom_site_fract_x
_atom_site_fract_y
_atom_site_fract_z
Pr1 0.0000 0.0000 0.0000
Sm1 0.0000 0.0000 0.2029
Sm2 0.0000 0.0000 0.4011
Sm3 0.0000 0.0000 0.5989
Sm4 0.0000 0.0000 0.7971
Cd1 0.5000 0.5000 0.1050
Cd2 0.5000 0.5000 0.3017
Cd3 0.5000 0.5000 0.5000
Cd4 0.5000 0.5000 0.6983
Cd5 0.5000 0.5000 0.8950